# 1
Entry from the Alexandria database: CuSe2Cl at its PBEsol-relaxed geometry (meta-GGA SCAN).

```
CuSe2Cl
1.0
3.294 0.000 0.000
0.000 3.294 0.000
0.000 0.000 6.808
Cu Se Cl
1 2 1
Direct
0.000 0.000 0.000
0.500 0.500 0.180
0.500 0.500 0.820
0.000 0.000 0.500
```

Output
**Calculated volume**: 18.5 Å³ per atom
**Relative energy among the computed polymorphs**: 0.509 eV/atom
**Formation energy without anion corrections**: 0.1745 eV/atom
**Size of the total moment**: 0.00 μB per atom
**Calculated total energy**: -15.659 eV per atom
**SG**: P4/mmm, No. 123

# 2
Entry from the Alexandria database: YSiPt2 at its PBEsol-relaxed geometry (meta-GGA SCAN).

```
YSiPt2
1.0
7.249 0.000 0.000
0.000 6.913 0.000
0.000 0.000 5.435
Y Si Pt
4 4 8
Direct
0.027 0.250 0.133
0.473 0.750 0.633
0.527 0.250 0.367
0.973 0.750 0.867
0.120 0.750 0.365
0.380 0.250 0.865
0.620 0.750 0.135
0.880 0.250 0.635
0.180 0.051 0.593
0.180 0.449 0.593
0.320 0.551 0.093
0.320 0.949 0.093
0.680 0.051 0.907
0.680 0.449 0.907
0.820 0.551 0.407
0.820 0.949 0.407
```

Output
**Calculated volume**: 17.0 Å³ per atom
**Formation energy without anion corrections**: -1.3636 eV/atom
**Size of the total moment**: 0.00 μB per atom
**Calculated total energy**: -45.925 eV per atom
**SG**: Pnma, No. 62

# 3
Entry from the Alexandria database: CoHgSb2 at its PBEsol-relaxed geometry (meta-GGA SCAN).

```
CoHgSb2
1.0
-1.557 2.244 5.990
1.557 -2.244 5.990
1.557 2.244 -5.990
Co Hg Sb
1 1 2
Direct
0.000 0.000 0.000
0.500 0.500 0.000
0.172 0.672 0.500
0.828 0.328 0.500
```

Output
**Calculated volume**: 20.9 Å³ per atom
**Formation energy without anion corrections**: 0.2285 eV/atom
**Size of the total moment**: 0.00 μB per atom
**Calculated total energy**: -39.769 eV per atom
**SG**: Immm, No. 71

# 4
Entry from the Alexandria database: Tl2AgHg at its PBEsol-relaxed geometry (meta-GGA SCAN).

```
Tl2AgHg
1.0
0.000 3.624 3.624
3.624 0.000 3.624
3.624 3.624 0.000
Tl Ag Hg
2 1 1
Direct
0.250 0.250 0.250
0.750 0.750 0.750
0.000 0.000 0.000
0.500 0.500 0.500
```

Output
**Calculated volume**: 23.8 Å³ per atom
**Relative energy among the computed polymorphs**: 0.036 eV/atom
**Size of the total moment**: 0.00 μB per atom
**Calculated total energy**: -60.949 eV per atom
**SG**: Fm-3m, No. 225

# 5
Entry from the Alexandria database: CrSbH2 at its PBEsol-relaxed geometry (meta-GGA SCAN).

```
CrSbH2
1.0
0.000 2.835 2.835
2.835 0.000 2.835
2.835 2.835 0.000
Cr Sb H
1 1 2
Direct
0.000 0.000 0.000
0.500 0.500 0.500
0.250 0.250 0.250
0.750 0.750 0.750
```

Output
**Calculated volume**: 11.4 Å³ per atom
**Size of the total moment**: 0.96 μB per atom
**Calculated total energy**: -14.916 eV per atom
**SG**: Fm-3m, No. 225

# 6
Entry from the Alexandria database: Si2PbAu at its PBEsol-relaxed geometry (meta-GGA SCAN).

```
Si2PbAu
1.0
-1.528 2.635 4.950
1.528 -2.635 4.950
1.528 2.635 -4.950
Si Pb Au
2 1 1
Direct
0.217 0.217 0.000
0.783 0.783 0.000
0.500 0.000 0.500
0.000 0.500 0.500
```

Output
**Calculated volume**: 19.9 Å³ per atom
**Formation energy without anion corrections**: 0.5124 eV/atom
**Size of the total moment**: 0.00 μB per atom
**Calculated total energy**: -40.730 eV per atom
**SG**: Immm, No. 71

# 7
Entry from the Alexandria database: MoPRh2 at its PBEsol-relaxed geometry (meta-GGA SCAN).

```
MoPRh2
1.0
1.387 0.801 8.133
-1.387 0.801 8.133
0.000 -1.602 8.133
Mo P Rh
1 1 2
Direct
0.000 0.000 0.000
0.500 0.500 0.500
0.241 0.241 0.241
0.759 0.759 0.759
```

Output
**Calculated volume**: 13.5 Å³ per atom
**Size of the total moment**: 0.00 μB per atom
**Calculated total energy**: -28.391 eV per atom
**SG**: R-3m, No. 166

# 8
Entry from the Alexandria database: CaBe2P2 at its PBEsol-relaxed geometry (meta-GGA SCAN).

```
CaBe2P2
1.0
-1.787 1.787 5.990
1.787 -1.787 5.990
1.787 1.787 -5.990
Ca Be P
1 2 2
Direct
0.000 0.000 0.000
0.250 0.750 0.500
0.750 0.250 0.500
0.358 0.358 0.000
0.642 0.642 0.000
```

Output
**Calculated volume**: 15.3 Å³ per atom
**Relative energy among the computed polymorphs**: 0.075 eV/atom
**Size of the total moment**: 0.00 μB per atom
**Calculated total energy**: -8.623 eV per atom
**SG**: I4/mmm, No. 139

# 9
Entry from the Alexandria database: Ca2ScMnW at its PBEsol-relaxed geometry (meta-GGA SCAN).

```
Ca2ScMnW
1.0
5.266 0.000 0.000
0.000 5.266 0.000
0.000 0.000 4.447
Ca Sc Mn W
2 1 1 1
Direct
0.000 0.500 0.000
0.500 0.000 0.000
0.000 0.000 0.500
0.500 0.500 0.000
0.500 0.500 0.500
```

Output
**Calculated volume**: 24.7 Å³ per atom
**Size of the total moment**: 0.20 μB per atom
**Calculated total energy**: -23.355 eV per atom
**SG**: P4/mmm, No. 123

# 10
Entry from the Alexandria database: Fe2SiNi at its PBEsol-relaxed geometry (meta-GGA SCAN).

```
Fe2SiNi
1.0
-1.838 1.838 3.150
1.838 -1.838 3.150
1.838 1.838 -3.150
Fe Si Ni
2 1 1
Direct
0.000 0.000 0.000
0.750 0.250 0.500
0.250 0.750 0.500
0.500 0.500 0.000
```

Output
**Calculated volume**: 10.6 Å³ per atom
**Formation energy without anion corrections**: -0.3346 eV/atom
**Size of the total moment**: 1.21 μB per atom
**Calculated total energy**: -15.947 eV per atom
**SG**: I-4m2, No. 119

# 11
Entry from the Alexandria database: Ba2ZrTcB at its PBEsol-relaxed geometry (meta-GGA SCAN).

```
Ba2ZrTcB
1.0
6.264 0.000 0.000
0.000 6.264 0.000
0.000 0.000 4.498
Ba Zr Tc B
2 1 1 1
Direct
0.000 0.500 0.000
0.500 0.000 0.000
0.000 0.000 0.000
0.000 0.000 0.500
0.500 0.500 0.500
```

Output
**Calculated volume**: 35.3 Å³ per atom
**Size of the total moment**: 0.00 μB per atom
**Calculated total energy**: -28.795 eV per atom
**SG**: P4/mmm, No. 123

# 12
Entry from the Alexandria database: TlBiTePt2 at its PBEsol-relaxed geometry (meta-GGA SCAN).

```
TlBiTePt2
1.0
4.923 0.000 0.000
0.000 4.923 0.000
0.000 0.000 5.952
Tl Bi Te Pt
1 1 1 2
Direct
0.000 0.000 0.000
0.500 0.500 0.000
0.500 0.500 0.500
0.000 0.500 0.500
0.500 0.000 0.500
```

Output
**Calculated volume**: 28.9 Å³ per atom
**Formation energy without anion corrections**: 0.5735 eV/atom
**Size of the total moment**: 0.00 μB per atom
**Calculated total energy**: -65.142 eV per atom
**SG**: P4/mmm, No. 123

# 13
Entry from the Alexandria database: TaTiSe2 at its PBEsol-relaxed geometry (meta-GGA SCAN).

```
TaTiSe2
1.0
0.000 3.171 3.171
3.171 0.000 3.171
3.171 3.171 0.000
Ta Ti Se
1 1 2
Direct
0.000 0.000 0.000
0.500 0.500 0.500
0.250 0.250 0.250
0.750 0.750 0.750
```

Output
**Calculated volume**: 15.9 Å³ per atom
**Formation energy without anion corrections**: -0.5233 eV/atom
**Size of the total moment**: 0.00 μB per atom
**Calculated total energy**: -31.216 eV per atom
**SG**: Fm-3m, No. 225

# 14
Entry from the Alexandria database: CoAgBr2 at its PBEsol-relaxed geometry (meta-GGA SCAN).

```
CoAgBr2
1.0
1.753 -3.104 0.000
1.753 3.104 0.000
0.000 0.000 7.701
Co Ag Br
1 1 2
Direct
0.000 0.000 0.000
0.000 0.000 0.500
0.500 0.500 0.219
0.500 0.500 0.781
```

Output
**Calculated volume**: 20.9 Å³ per atom
**Relative energy among the computed polymorphs**: 0.163 eV/atom
**Formation energy without anion corrections**: -0.0155 eV/atom
**Size of the total moment**: 0.49 μB per atom
**Calculated total energy**: -21.913 eV per atom
**SG**: Cmmm, No. 65

# 15
Entry from the Alexandria database: LaTc4 at its PBEsol-relaxed geometry (meta-GGA SCAN).

```
LaTc4
1.0
-2.150 2.150 5.074
2.150 -2.150 5.074
2.150 2.150 -5.074
La Tc
1 4
Direct
0.000 0.000 0.000
0.250 0.750 0.500
0.373 0.373 0.000
0.627 0.627 0.000
0.750 0.250 0.500
```

Output
**Calculated volume**: 18.8 Å³ per atom
**Size of the total moment**: 0.00 μB per atom
**Calculated total energy**: -36.707 eV per atom
**SG**: I4/mmm, No. 139

# 16
Entry from the Alexandria database: Zn2IrPb at its PBEsol-relaxed geometry (meta-GGA SCAN).

```
Zn2IrPb
1.0
4.325 -1.869 0.000
4.325 1.869 0.000
-1.416 0.000 4.331
Zn Ir Pb
2 1 1
Direct
0.227 0.227 0.166
0.773 0.773 0.834
0.500 0.500 0.000
0.000 0.000 0.500
```

Output
**Calculated volume**: 17.5 Å³ per atom
**Size of the total moment**: 0.00 μB per atom
**Calculated total energy**: -43.268 eV per atom
**SG**: C2/m, No. 12

# 17
Entry from the Alexandria database: NiMoPt2 at its PBEsol-relaxed geometry (meta-GGA SCAN).

```
NiMoPt2
1.0
2.704 0.000 0.000
0.000 2.704 0.000
0.000 0.000 7.554
Ni Mo Pt
1 1 2
Direct
0.000 0.000 0.000
0.000 0.000 0.500
0.500 0.500 0.241
0.500 0.500 0.759
```

Output
**Calculated volume**: 13.8 Å³ per atom
**Relative energy among the computed polymorphs**: 0.020 eV/atom
**Size of the total moment**: 0.21 μB per atom
**Calculated total energy**: -48.151 eV per atom
**SG**: P4/mmm, No. 123

# 18
Entry from the Alexandria database: SrTl2Tc at its PBEsol-relaxed geometry (meta-GGA SCAN).

```
SrTl2Tc
1.0
-2.211 2.211 4.847
2.211 -2.211 4.847
2.211 2.211 -4.847
Sr Tl Tc
1 2 1
Direct
0.000 0.000 0.000
0.250 0.750 0.500
0.500 0.500 0.000
0.750 0.250 0.500
```

Output
**Calculated volume**: 23.7 Å³ per atom
**Relative energy among the computed polymorphs**: 0.254 eV/atom
**Size of the total moment**: 0.44 μB per atom
**Calculated total energy**: -50.017 eV per atom
**SG**: I-4m2, No. 119

# 19
Entry from the Alexandria database: Na3CuO2 at its PBEsol-relaxed geometry (meta-GGA SCAN).

```
Na3CuO2
1.0
7.752 0.000 0.000
0.000 7.752 0.000
0.000 0.000 11.471
Na Cu O
24 8 16
Direct
0.016 0.016 0.000
0.026 0.445 0.001
0.048 0.952 0.250
0.055 0.526 0.251
0.148 0.736 0.857
0.236 0.352 0.607
0.264 0.852 0.643
0.352 0.236 0.393
0.445 0.026 0.999
0.452 0.452 0.000
0.474 0.945 0.249
0.484 0.516 0.250
0.516 0.484 0.750
0.526 0.055 0.749
0.548 0.548 0.500
0.555 0.974 0.499
0.648 0.764 0.893
0.736 0.148 0.143
0.764 0.648 0.107
0.852 0.264 0.357
0.945 0.474 0.751
0.952 0.048 0.750
0.974 0.555 0.501
0.984 0.984 0.500
0.236 0.237 0.157
0.237 0.236 0.843
0.263 0.736 0.407
0.264 0.737 0.093
0.736 0.263 0.593
0.737 0.264 0.907
0.763 0.764 0.343
0.764 0.763 0.657
0.006 0.239 0.161
0.034 0.734 0.087
0.234 0.466 0.837
0.239 0.006 0.839
0.261 0.506 0.411
0.266 0.966 0.413
0.466 0.234 0.163
0.494 0.739 0.089
0.506 0.261 0.589
0.534 0.766 0.663
0.734 0.034 0.913
0.739 0.494 0.911
0.761 0.994 0.339
0.766 0.534 0.337
0.966 0.266 0.587
0.994 0.761 0.661
```

Output
**Calculated volume**: 14.4 Å³ per atom
**Relative energy among the computed polymorphs**: 0.010 eV/atom
**Formation energy without anion corrections**: -1.2540 eV/atom
**Size of the total moment**: 0.00 μB per atom
**Calculated total energy**: -7.972 eV per atom
**SG**: P4_12_12, No. 92

# 20
Entry from the Alexandria database: KScS2N at its PBEsol-relaxed geometry (meta-GGA SCAN).

```
KScS2N
1.0
4.991 0.000 0.000
0.000 4.991 0.000
0.000 0.000 4.321
K Sc S N
1 1 2 1
Direct
0.000 0.000 0.000
0.500 0.500 0.500
0.000 0.500 0.500
0.500 0.000 0.500
0.500 0.500 0.000
```

Output
**Calculated volume**: 21.5 Å³ per atom
**Formation energy without anion corrections**: -0.7131 eV/atom
**Size of the total moment**: 0.59 μB per atom
**Calculated total energy**: -10.936 eV per atom
**SG**: P4/mmm, No. 123